An optimized crystal structure of MoWC, computed with GGA-PBE.

Values from the calculation:
For the energy above the most stable polymorph in this dataset, the calculation gives 0 meV/atom. The total magnetization is 0.00 μB per formula unit. As for the crystal system: monoclinic. The calculation puts the calculated formation energy at -0.08 eV per atom. The space-group type is P2_1/c. As for the total energy: -133.038 eV/cell.

Cell and atoms, written as POSCAR:
```
MoWC
1.0
-0.308 3.194 3.516
2.525 -3.288 3.208
5.320 2.393 -1.734
W Mo C
4 4 4
Direct
0.242 0.581 0.379
0.258 0.081 0.121
0.758 0.419 0.621
0.742 0.919 0.879
0.750 0.420 0.125
0.750 0.920 0.375
0.250 0.580 0.875
0.250 0.080 0.625
0.002 0.753 0.122
0.498 0.253 0.378
0.998 0.247 0.878
0.502 0.747 0.622
```